Record 1
Here is crystalline Rb2TiI5 at its relaxed geometry from the Alexandria database. Energies are from PBE.

a = 7.994 Å, b = 7.994 Å, c = 7.994 Å
α = 113.22°, β = 113.22°, γ = 102.21°
Sites, in units of the cell vectors:
Rb 0.000 0.500 0.500
Rb 0.500 0.000 0.500
Ti 0.309 0.309 0.000
I 0.030 0.030 0.562
I 0.030 0.468 0.000
I 0.468 0.030 0.000
I 0.468 0.468 0.438
I 0.567 0.567 0.000

Output
DFT total energy (eV per cell): -26.30
Raw formation energy (meV/atom): -1090.3
ρ (g/cm3): 3.6


Record 2
Here is crystalline Rb2TiI at its relaxed geometry from the Alexandria database. Energies are from PBE.

a = 6.533 Å, b = 6.533 Å, c = 6.533 Å
α = 60.00°, β = 60.00°, γ = 60.00°
Sites, in units of the cell vectors:
Rb 0.250 0.250 0.250
Rb 0.750 0.750 0.750
Ti 0.000 0.000 0.000
I 0.500 0.500 0.500

Output
DFT total energy (eV per cell): -10.16
Raw formation energy (meV/atom): 306.0
ρ (g/cm3): 2.9
Excess energy over the best structure of this formula in the dataset (meV per atom): 0


Record 3
Here is crystalline RbTi3I at its relaxed geometry from the Alexandria database. Energies are from PBE.

a = 4.896 Å, b = 4.896 Å, c = 4.896 Å
α = 90.00°, β = 90.00°, γ = 90.00°
Sites, in units of the cell vectors:
Rb 0.000 0.000 0.000
Ti 0.000 0.000 0.500
Ti 0.000 0.500 0.000
Ti 0.500 0.000 0.000
I 0.500 0.500 0.500

Output
DFT total energy (eV per cell): -15.40
Raw formation energy (meV/atom): 2160.4
ρ (g/cm3): 5.0
Excess energy over the best structure of this formula in the dataset (meV per atom): 926


Record 4
Here is crystalline Rb3Ti2I9 at its relaxed geometry from the Alexandria database. Energies are from PBE.

a = 10.770 Å, b = 10.770 Å, c = 10.770 Å
α = 81.34°, β = 81.34°, γ = 81.34°
Sites, in units of the cell vectors:
Rb 0.089 0.750 0.411
Rb 0.250 0.589 0.911
Rb 0.411 0.089 0.750
Rb 0.589 0.911 0.250
Rb 0.750 0.411 0.089
Rb 0.911 0.250 0.589
Ti 0.170 0.170 0.170
Ti 0.330 0.330 0.330
Ti 0.670 0.670 0.670
Ti 0.830 0.830 0.830
I 0.067 0.901 0.735
I 0.087 0.413 0.250
I 0.099 0.265 0.933
I 0.235 0.401 0.567
I 0.250 0.087 0.413
I 0.265 0.933 0.099
I 0.401 0.567 0.235
I 0.413 0.250 0.087
I 0.433 0.765 0.599
I 0.567 0.235 0.401
I 0.587 0.750 0.913
I 0.599 0.433 0.765
I 0.735 0.067 0.901
I 0.750 0.913 0.587
I 0.765 0.599 0.433
I 0.901 0.735 0.067
I 0.913 0.587 0.750
I 0.933 0.099 0.265

Output
DFT total energy (eV per cell): -94.97
Raw formation energy (meV/atom): -1060.2
ρ (g/cm3): 4.1